Compound: Mg5Sn2HgPd2
Source: the Alexandria database
Functional: PBE
Structure: optimized geometry

```
Mg5Sn2HgPd2
1.0
4.1510 0.0000 0.0000
0.0000 9.9912 0.0000
0.0000 0.0000 9.9912
Mg Sn Hg Pd
10 4 2 4
direct
0.5000 0.2057 0.0763
0.5000 0.7943 0.9237
0.5000 0.0763 0.7943
0.5000 0.7057 0.4237
0.5000 0.9237 0.2057
0.5000 0.2943 0.5763
0.5000 0.5763 0.7057
0.5000 0.4237 0.2943
0.5000 0.5000 0.0000
0.5000 0.0000 0.5000
0.0000 0.6697 0.1697
0.0000 0.3303 0.8303
0.0000 0.1697 0.3303
0.0000 0.8303 0.6697
0.0000 0.0000 0.0000
0.0000 0.5000 0.5000
0.0000 0.1245 0.6245
0.0000 0.8755 0.3755
0.0000 0.6245 0.8755
0.0000 0.3755 0.1245
```

Calculated formation energy = -0.356 eV/atom
Final energy = -60.4 eV/cell
SG = No. 127

***

Compound: CeScGaNi
Source: the Alexandria database
Functional: PBE
Structure: optimized geometry

```
CeScGaNi
1.0
-0.0777 4.7839 -0.7410
-0.4113 1.7468 -4.4967
-4.1000 2.1682 -1.3892
Sc Ni Ga Ce
1 1 1 1
direct
0.5000 0.5000 0.5000
0.2500 0.2500 0.2500
0.7500 0.7500 0.7500
0.0000 0.0000 0.0000
```

Calculated formation energy = -0.372 eV/atom
Final energy = -22.6 eV/cell
SG = No. 216

***

Compound: La2Nd12Y5
Source: the Alexandria database
Functional: PBE
Structure: optimized geometry

```
La2Nd12Y5
1.0
-3.5316 5.7834 -1.8290
-9.1055 -9.5272 0.9241
2.1910 3.6668 7.3640
La Nd Y
2 12 5
direct
0.7614 0.0000 0.0000
0.2386 0.0000 0.0000
0.1067 0.2134 0.3792
0.0961 0.6952 0.8894
0.5991 0.6952 0.8894
0.0560 0.6149 0.2311
0.5589 0.6149 0.2311
0.4031 0.8062 0.6249
0.5969 0.1938 0.3751
0.9440 0.3851 0.7689
0.4411 0.3851 0.7689
0.9039 0.3048 0.1106
0.4009 0.3048 0.1106
0.8933 0.7866 0.6208
0.2533 0.5066 0.5029
0.4461 0.8923 0.2871
0.0000 0.0000 0.5000
0.5539 0.1077 0.7129
0.7467 0.4934 0.4971
```

Calculated formation energy = 0.199 eV/atom
Final energy = -95.6 eV/cell
SG = No. 12

***

Compound: EuDyNiAu
Source: the Alexandria database
Functional: PBE
Structure: optimized geometry

```
EuDyNiAu
1.0
5.0365 0.0000 0.0000
2.5182 4.3617 0.0000
2.5182 1.4539 4.1123
Eu Ni Au Dy
1 1 1 1
direct
0.5000 0.5000 0.5000
0.2500 0.2500 0.2500
0.7500 0.7500 0.7500
0.0000 0.0000 0.0000
```

Calculated formation energy = -0.446 eV/atom
Final energy = -25.7 eV/cell
SG = No. 216

***

Which value of final energy does entry 4 give?
-25.7 eV/cell

***

Among the records above, which one has the lowest final energy?
La2Nd12Y5

***

Please write out number 4 again, unchanged.
Compound: EuDyNiAu
Source: the Alexandria database
Functional: PBE
Structure: optimized geometry

```
EuDyNiAu
1.0
5.0365 0.0000 0.0000
2.5182 4.3617 0.0000
2.5182 1.4539 4.1123
Eu Ni Au Dy
1 1 1 1
direct
0.5000 0.5000 0.5000
0.2500 0.2500 0.2500
0.7500 0.7500 0.7500
0.0000 0.0000 0.0000
```

Calculated formation energy = -0.446 eV/atom
Final energy = -25.7 eV/cell
SG = No. 216

***

Number 3 is which compound?
La2Nd12Y5